# TbNdTePb

Crystalline TbNdTePb at its relaxed geometry (PBE, the Alexandria database).

Cell lengths 7.7892, 7.7892, 7.7892 Å; angles 33.51, 33.51, 33.51 degrees
Positions (direct):
Tb1 0.0000 0.0000 0.0000
Nd1 0.4950 0.4950 0.4950
Te1 0.2504 0.2504 0.2504
Pb1 0.7451 0.7451 0.7451

Density = 8.26 g cm⁻³
Formation energy (no corrections) = -0.99 eV per atom
Total magnetic moment = 0.00 μB/cell